B3PPt | GGA-PBE | optimized geometry

CIF file:
```
data_B3PPt
_symmetry_space_group_name_H-M 'P 1'
_symmetry_Int_Tables_number 1
_cell_length_a 4.1410
_cell_length_b 4.1410
_cell_length_c 4.1410
_cell_angle_alpha 90.00
_cell_angle_beta 90.00
_cell_angle_gamma 90.00
loop_
_symmetry_equiv_pos_as_xyz
'x,y,z'
loop_
_atom_site_label
_atom_site_type_symbol
_atom_site_fract_x
_atom_site_fract_y
_atom_site_fract_z
P1 P 0.5000 0.5000 0.5000
B1 B 0.0000 0.5000 0.0000
B2 B 0.0000 0.0000 0.5000
B3 B 0.5000 0.0000 0.0000
Pt1 Pt 0.0000 0.0000 0.0000
```

Properties
- E above lowest polymorph: 14 meV/atom
- Energy relative to the elements: 1.4072 eV/atom

AcTe2Ir | GGA-PBE | optimized geometry

CIF file:
```
data_AcTe2Ir
_symmetry_space_group_name_H-M 'P 1'
_symmetry_Int_Tables_number 1
_cell_length_a 4.0869
_cell_length_b 4.0869
_cell_length_c 9.6000
_cell_angle_alpha 77.71
_cell_angle_beta 77.71
_cell_angle_gamma 60.00
loop_
_symmetry_equiv_pos_as_xyz
'x,y,z'
loop_
_atom_site_label
_atom_site_type_symbol
_atom_site_fract_x
_atom_site_fract_y
_atom_site_fract_z
Ac1 Ac 0.0000 0.0000 0.0000
Ir1 Ir 0.5000 0.5000 0.5000
Te1 Te 0.1197 0.1197 0.6408
Te2 Te 0.8803 0.8803 0.3592
```

Properties
- Energy relative to the elements, uncorrected: -0.2600 eV per atom

SmScTiAl | GGA-PBE | optimized geometry

CIF file:
```
data_SmScTiAl
_symmetry_space_group_name_H-M 'P 1'
_symmetry_Int_Tables_number 1
_cell_length_a 5.0427
_cell_length_b 5.0427
_cell_length_c 5.0427
_cell_angle_alpha 60.00
_cell_angle_beta 60.00
_cell_angle_gamma 60.00
loop_
_symmetry_equiv_pos_as_xyz
'x,y,z'
loop_
_atom_site_label
_atom_site_type_symbol
_atom_site_fract_x
_atom_site_fract_y
_atom_site_fract_z
Sc1 Sc 0.5000 0.5000 0.5000
Al1 Al 0.7500 0.7500 0.7500
Sm1 Sm 0.0000 0.0000 0.0000
Ti1 Ti 0.2500 0.2500 0.2500
```

Properties
- Energy relative to the elements: -0.0535 eV/atom

Th2CdPd | GGA-PBE | optimized geometry

CIF file:
```
data_Th2CdPd
_symmetry_space_group_name_H-M 'P 1'
_symmetry_Int_Tables_number 1
_cell_length_a 5.2823
_cell_length_b 5.2823
_cell_length_c 5.2823
_cell_angle_alpha 60.00
_cell_angle_beta 60.00
_cell_angle_gamma 60.00
loop_
_symmetry_equiv_pos_as_xyz
'x,y,z'
loop_
_atom_site_label
_atom_site_type_symbol
_atom_site_fract_x
_atom_site_fract_y
_atom_site_fract_z
Pd1 Pd 0.0000 0.0000 0.0000
Th1 Th 0.2500 0.2500 0.2500
Th2 Th 0.7500 0.7500 0.7500
Cd1 Cd 0.5000 0.5000 0.5000
```

Properties
- E above lowest polymorph: 98 meV/atom
- Energy relative to the elements: -0.2574 eV/atom

MnB2Pt2 | GGA-PBE | optimized geometry

CIF file:
```
data_MnB2Pt2
_symmetry_space_group_name_H-M 'P 1'
_symmetry_Int_Tables_number 1
_cell_length_a 3.2473
_cell_length_b 3.2473
_cell_length_c 6.3277
_cell_angle_alpha 75.13
_cell_angle_beta 75.13
_cell_angle_gamma 90.00
loop_
_symmetry_equiv_pos_as_xyz
'x,y,z'
loop_
_atom_site_label
_atom_site_type_symbol
_atom_site_fract_x
_atom_site_fract_y
_atom_site_fract_z
B1 B 0.7500 0.2500 0.5000
B2 B 0.2500 0.7500 0.5000
Mn1 Mn 0.0000 0.0000 0.0000
Pt1 Pt 0.3719 0.3719 0.2562
Pt2 Pt 0.6281 0.6281 0.7438
```

Properties
- E above lowest polymorph: 0 meV/atom
- Energy relative to the elements: -0.0656 eV/atom

ZnCoSn2I | GGA-PBE | optimized geometry

CIF file:
```
data_ZnCoSn2I
_symmetry_space_group_name_H-M 'P 1'
_symmetry_Int_Tables_number 1
_cell_length_a 4.9750
_cell_length_b 4.9750
_cell_length_c 4.9269
_cell_angle_alpha 90.00
_cell_angle_beta 90.00
_cell_angle_gamma 90.00
loop_
_symmetry_equiv_pos_as_xyz
'x,y,z'
loop_
_atom_site_label
_atom_site_type_symbol
_atom_site_fract_x
_atom_site_fract_y
_atom_site_fract_z
I1 I 0.5000 0.5000 0.5000
Zn1 Zn 0.0000 0.0000 0.5000
Co1 Co 0.0000 0.0000 0.0000
Sn1 Sn 0.0000 0.5000 0.0000
Sn2 Sn 0.5000 0.0000 0.0000
```

Properties
- Energy relative to the elements, uncorrected: -0.0249 eV per atom

MnHgBr | GGA-PBE | optimized geometry

CIF file:
```
data_MnHgBr
_symmetry_space_group_name_H-M 'P 1'
_symmetry_Int_Tables_number 1
_cell_length_a 6.8876
_cell_length_b 6.8934
_cell_length_c 3.3924
_cell_angle_alpha 75.66
_cell_angle_beta 75.84
_cell_angle_gamma 28.50
loop_
_symmetry_equiv_pos_as_xyz
'x,y,z'
loop_
_atom_site_label
_atom_site_type_symbol
_atom_site_fract_x
_atom_site_fract_y
_atom_site_fract_z
Br1 Br 0.0434 0.0434 0.9566
Hg1 Hg 0.2967 0.2967 0.7033
Mn1 Mn 0.6598 0.6598 0.3402
```

Properties
- Energy relative to the elements, uncorrected: 0.0364 eV per atom
- E above lowest polymorph: 94 meV/atom

PmScZnHg | GGA-PBE | optimized geometry

CIF file:
```
data_PmScZnHg
_symmetry_space_group_name_H-M 'P 1'
_symmetry_Int_Tables_number 1
_cell_length_a 5.1049
_cell_length_b 5.1049
_cell_length_c 5.1049
_cell_angle_alpha 60.00
_cell_angle_beta 60.00
_cell_angle_gamma 60.00
loop_
_symmetry_equiv_pos_as_xyz
'x,y,z'
loop_
_atom_site_label
_atom_site_type_symbol
_atom_site_fract_x
_atom_site_fract_y
_atom_site_fract_z
Sc1 Sc 0.2500 0.2500 0.2500
Zn1 Zn 0.0000 0.0000 0.0000
Hg1 Hg 0.5000 0.5000 0.5000
Pm1 Pm 0.7500 0.7500 0.7500
```

Properties
- E above lowest polymorph: 35 meV/atom
- Energy relative to the elements: -0.3569 eV/atom

Be2PtPb | GGA-PBE | optimized geometry

CIF file:
```
data_Be2PtPb
_symmetry_space_group_name_H-M 'P 1'
_symmetry_Int_Tables_number 1
_cell_length_a 4.6138
_cell_length_b 5.2312
_cell_length_c 3.5532
_cell_angle_alpha 66.03
_cell_angle_beta 98.70
_cell_angle_gamma 119.50
loop_
_symmetry_equiv_pos_as_xyz
'x,y,z'
loop_
_atom_site_label
_atom_site_type_symbol
_atom_site_fract_x
_atom_site_fract_y
_atom_site_fract_z
Pb1 Pb 0.0000 0.5000 0.5000
Be1 Be 0.0000 0.0000 0.0000
Be2 Be 0.5000 0.0000 0.5000
Pt1 Pt 0.5000 0.5000 0.0000
```

Properties
- Energy relative to the elements: 0.3614 eV/atom

PaTiCr | GGA-PBE | optimized geometry

CIF file:
```
data_PaTiCr
_symmetry_space_group_name_H-M 'P 1'
_symmetry_Int_Tables_number 1
_cell_length_a 5.4539
_cell_length_b 5.4539
_cell_length_c 4.9373
_cell_angle_alpha 105.55
_cell_angle_beta 105.55
_cell_angle_gamma 120.98
loop_
_symmetry_equiv_pos_as_xyz
'x,y,z'
loop_
_atom_site_label
_atom_site_type_symbol
_atom_site_fract_x
_atom_site_fract_y
_atom_site_fract_z
Pa1 Pa 0.6564 0.3436 0.0000
Pa2 Pa 0.3436 0.6564 0.0000
Ti1 Ti 0.8306 0.8306 0.6612
Ti2 Ti 0.1694 0.1694 0.3388
Cr1 Cr 0.7500 0.2500 0.5000
Cr2 Cr 0.2500 0.7500 0.5000
```

Properties
- E above lowest polymorph: 0 meV/atom
- Energy relative to the elements: 0.0789 eV/atom

LiCoCl3 | GGA-PBE | optimized geometry

CIF file:
```
data_LiCoCl3
_symmetry_space_group_name_H-M 'P 1'
_symmetry_Int_Tables_number 1
_cell_length_a 6.4813
_cell_length_b 8.4646
_cell_length_c 8.4647
_cell_angle_alpha 85.35
_cell_angle_beta 79.73
_cell_angle_gamma 79.73
loop_
_symmetry_equiv_pos_as_xyz
'x,y,z'
loop_
_atom_site_label
_atom_site_type_symbol
_atom_site_fract_x
_atom_site_fract_y
_atom_site_fract_z
Li1 Li 0.7500 0.1092 0.8908
Li2 Li 0.2500 0.8908 0.1092
Li3 Li 0.7500 0.7577 0.2423
Li4 Li 0.2500 0.2423 0.7577
Co1 Co 0.7860 0.2150 0.3885
Co2 Co 0.7140 0.6115 0.7850
Co3 Co 0.2140 0.7850 0.6115
Co4 Co 0.2860 0.3885 0.2150
Cl1 Cl 0.8728 0.0278 0.2009
Cl2 Cl 0.6272 0.7991 0.9722
Cl3 Cl 0.1272 0.9722 0.7991
Cl4 Cl 0.3728 0.2009 0.0278
Cl5 Cl 0.6134 0.1343 0.6270
Cl6 Cl 0.8866 0.3730 0.8657
Cl7 Cl 0.3866 0.8657 0.3730
Cl8 Cl 0.1134 0.6270 0.1343
Cl9 Cl 0.0909 0.2884 0.4360
Cl10 Cl 0.4091 0.5640 0.7116
Cl11 Cl 0.9091 0.7116 0.5640
Cl12 Cl 0.5909 0.4360 0.2884
```

Properties
- Energy relative to the elements, uncorrected: -1.0371 eV per atom
- E above lowest polymorph: 6 meV/atom

Ce2SmAs3Rh4 | GGA-PBE | optimized geometry

CIF file:
```
data_Ce2SmAs3Rh4
_symmetry_space_group_name_H-M 'P 1'
_symmetry_Int_Tables_number 1
_cell_length_a 4.1290
_cell_length_b 4.1290
_cell_length_c 11.5508
_cell_angle_alpha 90.00
_cell_angle_beta 90.00
_cell_angle_gamma 90.00
loop_
_symmetry_equiv_pos_as_xyz
'x,y,z'
loop_
_atom_site_label
_atom_site_type_symbol
_atom_site_fract_x
_atom_site_fract_y
_atom_site_fract_z
Ce1 Ce 0.5000 0.0000 0.2243
Ce2 Ce 0.0000 0.5000 0.7757
Sm1 Sm 0.5000 0.5000 0.5000
As1 As 0.0000 0.0000 0.5000
As2 As 0.5000 0.0000 0.8748
As3 As 0.0000 0.5000 0.1252
Rh1 Rh 0.5000 0.5000 0.0000
Rh2 Rh 0.0000 0.0000 0.0000
Rh3 Rh 0.5000 0.0000 0.6653
Rh4 Rh 0.0000 0.5000 0.3347
```

Properties
- Energy relative to the elements: -0.9182 eV/atom

Ce4Sm3Se8 | GGA-PBE | optimized geometry

CIF file:
```
data_Ce4Sm3Se8
_symmetry_space_group_name_H-M 'P 1'
_symmetry_Int_Tables_number 1
_cell_length_a 8.2896
_cell_length_b 8.2896
_cell_length_c 9.0690
_cell_angle_alpha 62.80
_cell_angle_beta 62.80
_cell_angle_gamma 60.00
loop_
_symmetry_equiv_pos_as_xyz
'x,y,z'
loop_
_atom_site_label
_atom_site_type_symbol
_atom_site_fract_x
_atom_site_fract_y
_atom_site_fract_z
Ce1 Ce 0.0000 0.0000 0.0000
Ce2 Ce 0.3547 0.3547 0.9358
Ce3 Ce 0.5000 0.5000 0.5000
Ce4 Ce 0.6453 0.6453 0.0642
Sm1 Sm 0.5000 0.0000 0.5000
Sm2 Sm 0.0000 0.0000 0.5000
Sm3 Sm 0.0000 0.5000 0.5000
Se1 Se 0.2333 0.2333 0.3002
Se2 Se 0.2375 0.7502 0.2620
Se3 Se 0.7502 0.7502 0.2620
Se4 Se 0.7502 0.2375 0.2620
Se5 Se 0.7667 0.7667 0.6998
Se6 Se 0.7625 0.2498 0.7380
Se7 Se 0.2498 0.2498 0.7380
Se8 Se 0.2498 0.7625 0.7380
```

Properties
- Energy relative to the elements, uncorrected: -1.5952 eV per atom
- E above lowest polymorph: 243 meV/atom